Computed, not measured: crystalline NbB2Au at its relaxed geometry at the PBE level of DFT.

Computed properties:
* distance to the lowest polymorph of the same formula: 0.1128 eV/atom
* formation enthalpy at 0 K: 0.8038 eV per atom

Lattice parameters (Å, degrees): 4.0896 4.0896 13.7238 90.00 90.00 90.00
Last column: nearest neighbours and their distance in Å.
Space group I-42d (No. 122)
One atom of each set of equivalent atoms:
Nb1 0.0000 0.0000 0.0000 x4  4 B 2.38
B1 0.1834 0.2500 0.6250 x8  2 Au 2.13, 2 Nb 2.38
Au1 0.0000 0.0000 0.5000 x4  4 B 2.13